(1)
# Tb6ZnAg3

An optimized crystal structure of Tb6ZnAg3 (PBE, the Alexandria database).

a = 5.092 Å, b = 9.030 Å, c = 11.674 Å
α = 105.90°, β = 90.00°, γ = 90.00°
Fractional coordinates of all 20 atoms:
Tb: 0.250 0.506 0.110
Tb: 0.750 0.494 0.890
Tb: 0.250 0.116 0.157
Tb: 0.750 0.884 0.843
Tb: 0.250 0.662 0.699
Tb: 0.750 0.338 0.301
Tb: 0.250 0.260 0.487
Tb: 0.750 0.740 0.513
Tb: 0.250 0.865 0.346
Tb: 0.750 0.135 0.654
Tb: 0.250 0.139 0.881
Tb: 0.750 0.861 0.119
Zn: 0.250 0.949 0.622
Zn: 0.750 0.051 0.378
Ag: 0.250 0.537 0.379
Ag: 0.750 0.463 0.621
Ag: 0.250 0.360 0.748
Ag: 0.750 0.640 0.252
Ag: 0.250 0.776 0.971
Ag: 0.750 0.224 0.029

Output
N(E_F) ... 0.875 states/eV per atom
DFT formation energy ... -195 meV per atom
SG ... P2_1/m
Theoretical density ... 8.6 g/cm³

***

(2)
# FeHg2Pt

An optimized crystal structure of FeHg2Pt (PBE, the Alexandria database).

a = 9.245 Å, b = 9.245 Å, c = 9.245 Å
α = 18.76°, β = 18.76°, γ = 18.76°
Fractional coordinates of all 4 atoms:
Fe: 0.750 0.750 0.750
Hg: 0.002 0.002 0.002
Hg: 0.498 0.498 0.498
Pt: 0.250 0.250 0.250

Output
N(E_F) ... 0.909 states/eV per atom
DFT formation energy ... 301 meV per atom
SG ... R-3m
Theoretical density ... 15.2 g/cm³

***

(3)
# SeCl2

An optimized crystal structure of SeCl2 (PBE, the Alexandria database).

a = 3.266 Å, b = 3.266 Å, c = 7.439 Å
α = 90.00°, β = 90.00°, γ = 120.00°
Fractional coordinates of all 3 atoms:
Se: 0.000 0.000 0.000
Cl: 0.667 0.333 0.724
Cl: 0.333 0.667 0.276

Output
N(E_F) ... 0.864 states/eV per atom
Raw formation energy ... 1.4 eV per formula unit
SG ... P-3m1
Theoretical density ... 3.6 g/cm³

***

(4)
# Ce2TeO

An optimized crystal structure of Ce2TeO (PBE, the Alexandria database).

a = 3.478 Å, b = 3.478 Å, c = 7.167 Å
α = 90.00°, β = 90.00°, γ = 90.00°
Fractional coordinates of all 4 atoms:
Te: 0.500 0.500 0.500
O: 0.500 0.500 0.000
Ce: 0.000 0.000 0.788
Ce: 0.000 0.000 0.212

Output
N(E_F) ... 2.601 states/eV per atom
Raw formation energy ... -5.5 eV per formula unit
SG ... P4/mmm
Theoretical density ... 8.1 g/cm³

***

(5)
# TbNd7Sm3

An optimized crystal structure of TbNd7Sm3 (PBE, the Alexandria database).

a = 5.976 Å, b = 8.619 Å, c = 8.619 Å
α = 82.96°, β = 110.22°, γ = 110.22°
Fractional coordinates of all 11 atoms:
Tb: 0.500 0.500 0.500
Nd: 0.209 0.209 0.209
Nd: 0.303 0.009 0.597
Nd: 0.697 0.403 0.991
Nd: 0.303 0.597 0.009
Nd: 0.000 0.500 0.500
Nd: 0.697 0.991 0.403
Nd: 0.791 0.791 0.791
Sm: 0.000 0.793 0.207
Sm: 0.500 0.000 0.000
Sm: 0.000 0.207 0.793

Output
N(E_F) ... 1.496 states/eV per atom
DFT formation energy ... 225 meV per atom
SG ... C2/m
Theoretical density ... 6.9 g/cm³

***

(6)
# VReP3

An optimized crystal structure of VReP3 (PBE, the Alexandria database).

a = 4.478 Å, b = 4.478 Å, c = 4.478 Å
α = 90.00°, β = 90.00°, γ = 90.00°
Fractional coordinates of all 5 atoms:
Re: 0.500 0.500 0.500
V: 0.000 0.000 0.000
P: 0.000 0.500 0.000
P: 0.000 0.000 0.500
P: 0.500 0.000 0.000

Output
N(E_F) ... 0.559 states/eV per atom
DFT formation energy ... 1096 meV per atom
SG ... Pm-3m
Theoretical density ... 6.1 g/cm³

***

(7)
# InGa2CuTe

An optimized crystal structure of InGa2CuTe (PBE, the Alexandria database).

a = 4.818 Å, b = 4.818 Å, c = 5.123 Å
α = 90.00°, β = 90.00°, γ = 90.00°
Fractional coordinates of all 5 atoms:
Te: 0.500 0.500 0.500
Cu: 0.000 0.000 0.000
Ga: 0.000 0.500 0.000
Ga: 0.500 0.000 0.000
In: 0.000 0.000 0.500

Output
N(E_F) ... 0.148 states/eV per atom
Raw formation energy ... -0.1 eV per formula unit
SG ... P4/mmm
Theoretical density ... 6.2 g/cm³

***

(8)
# FeHSe3

An optimized crystal structure of FeHSe3 (PBE, the Alexandria database).

a = 4.644 Å, b = 4.644 Å, c = 4.644 Å
α = 90.00°, β = 90.00°, γ = 90.00°
Fractional coordinates of all 5 atoms:
H: 0.500 0.500 0.500
Fe: 0.000 0.000 0.000
Se: 0.000 0.500 0.000
Se: 0.000 0.000 0.500
Se: 0.500 0.000 0.000

Output
N(E_F) ... 1.430 states/eV per atom
Total energy ... -3.589 eV/atom
SG ... Pm-3m
Theoretical density ... 4.9 g/cm³

***

(9)
# KNbF2

An optimized crystal structure of KNbF2 (PBE, the Alexandria database).

a = 4.582 Å, b = 4.582 Å, c = 4.582 Å
α = 60.00°, β = 60.00°, γ = 60.00°
Fractional coordinates of all 4 atoms:
Nb: 0.500 0.500 0.500
K: 0.000 0.000 0.000
F: 0.250 0.250 0.250
F: 0.750 0.750 0.750

Output
N(E_F) ... 2.874 states/eV per atom
Raw formation energy ... -3.4 eV per formula unit
SG ... Fm-3m
Theoretical density ... 4.2 g/cm³

***

(10)
# DyHoCdRu

An optimized crystal structure of DyHoCdRu (PBE, the Alexandria database).

a = 5.019 Å, b = 5.019 Å, c = 5.019 Å
α = 60.00°, β = 60.00°, γ = 60.00°
Fractional coordinates of all 4 atoms:
Ru: 0.750 0.750 0.750
Cd: 0.250 0.250 0.250
Ho: 0.000 0.000 0.000
Dy: 0.500 0.500 0.500

Output
N(E_F) ... 0.928 states/eV per atom
DFT formation energy ... -300 meV per atom
SG ... F-43m
Theoretical density ... 10.0 g/cm³

***

(11)
# Te2Pd2Pb

An optimized crystal structure of Te2Pd2Pb (PBE, the Alexandria database).

a = 5.285 Å, b = 5.285 Å, c = 5.881 Å
α = 63.30°, β = 63.30°, γ = 90.00°
Fractional coordinates of all 5 atoms:
Pb: 0.000 0.000 0.000
Te: 0.750 0.250 0.500
Te: 0.250 0.750 0.500
Pd: 0.339 0.339 0.321
Pd: 0.661 0.661 0.679

Output
N(E_F) ... 0.622 states/eV per atom
Raw formation energy ... -0.7 eV per formula unit
SG ... I4/mmm
Theoretical density ... 8.8 g/cm³

***

(12)
# CeNb2Se4Br2

An optimized crystal structure of CeNb2Se4Br2 (PBE, the Alexandria database).

a = 3.606 Å, b = 3.606 Å, c = 22.119 Å
α = 90.00°, β = 90.00°, γ = 120.00°
Fractional coordinates of all 9 atoms:
Ce: 0.000 0.000 0.325
Nb: 0.000 0.000 0.973
Nb: 0.667 0.333 0.661
Se: 0.000 0.000 0.586
Se: 0.667 0.333 0.048
Se: 0.667 0.333 0.899
Se: 0.000 0.000 0.735
Br: 0.667 0.333 0.420
Br: 0.667 0.333 0.230

Output
N(E_F) ... 1.092 states/eV per atom
Raw formation energy ... -9.4 eV per formula unit
SG ... P3m1
Theoretical density ... 5.3 g/cm³

***

(13)
# Cu3Pt2Rh

An optimized crystal structure of Cu3Pt2Rh (PBE, the Alexandria database).

a = 4.671 Å, b = 7.098 Å, c = 8.057 Å
α = 129.14°, β = 124.83°, γ = 77.74°
Fractional coordinates of all 12 atoms:
Cu: 0.046 0.379 0.088
Cu: 0.954 0.621 0.912
Cu: 0.711 0.383 0.422
Cu: 0.289 0.617 0.578
Cu: 0.627 0.623 0.250
Cu: 0.373 0.377 0.750
Pt: 0.535 0.863 0.074
Pt: 0.465 0.137 0.926
Pt: 0.207 0.862 0.409
Pt: 0.793 0.138 0.591
Rh: 0.125 0.126 0.249
Rh: 0.875 0.874 0.751

Output
N(E_F) ... 1.277 states/eV per atom
DFT formation energy ... -45 meV per atom
SG ... P-1
Theoretical density ... 13.7 g/cm³

***

(14)
# LiOs3Pb

An optimized crystal structure of LiOs3Pb (PBE, the Alexandria database).

a = 4.274 Å, b = 4.274 Å, c = 4.274 Å
α = 90.00°, β = 90.00°, γ = 90.00°
Fractional coordinates of all 5 atoms:
Pb: 0.500 0.500 0.500
Os: 0.000 0.500 0.000
Os: 0.000 0.000 0.500
Os: 0.500 0.000 0.000
Li: 0.000 0.000 0.000

Output
N(E_F) ... 0.983 states/eV per atom
DFT formation energy ... 1541 meV per atom
SG ... Pm-3m
Theoretical density ... 16.7 g/cm³

***

(15)
# CeGeOs

An optimized crystal structure of CeGeOs (PBE, the Alexandria database).

a = 3.681 Å, b = 4.376 Å, c = 4.376 Å
α = 120.00°, β = 90.00°, γ = 90.00°
Fractional coordinates of all 3 atoms:
Ge: 0.167 0.000 0.000
Os: 0.167 0.333 0.667
Ce: 0.667 0.667 0.333

Output
N(E_F) ... 1.604 states/eV per atom
DFT formation energy ... -389 meV per atom
SG ... P-6m2
Theoretical density ... 11.0 g/cm³

***

(16)
# SiTeP

An optimized crystal structure of SiTeP (PBE, the Alexandria database).

a = 5.732 Å, b = 6.247 Å, c = 9.158 Å
α = 90.00°, β = 89.71°, γ = 90.00°
Fractional coordinates of all 12 atoms:
Si: 0.023 0.046 0.102
Si: 0.525 0.954 0.898
Si: 0.025 0.546 0.898
Si: 0.523 0.454 0.102
Te: 0.072 0.829 0.342
Te: 0.578 0.171 0.658
Te: 0.078 0.329 0.658
Te: 0.572 0.671 0.342
P: 0.129 0.395 0.113
P: 0.631 0.604 0.887
P: 0.131 0.896 0.887
P: 0.629 0.105 0.113

Output
Raw formation energy ... 0.0 eV per formula unit
SG ... Pc
Theoretical density ... 3.8 g/cm³

***

(17)
# MgCoPb

An optimized crystal structure of MgCoPb (PBE, the Alexandria database).

a = 3.246 Å, b = 3.246 Å, c = 6.639 Å
α = 90.00°, β = 90.00°, γ = 120.00°
Fractional coordinates of all 3 atoms:
Co: 0.000 0.000 0.006
Mg: 0.667 0.333 0.288
Pb: 0.333 0.667 0.706

Output
N(E_F) ... 0.922 states/eV per atom
DFT formation energy ... 351 meV per atom
SG ... P3m1
Theoretical density ... 8.0 g/cm³

***

(18)
# Nb3AuN

An optimized crystal structure of Nb3AuN (PBE, the Alexandria database).

a = 4.873 Å, b = 4.873 Å, c = 4.873 Å
α = 108.17°, β = 108.17°, γ = 108.17°
Fractional coordinates of all 5 atoms:
Nb: 0.702 0.104 0.702
Nb: 0.104 0.702 0.702
Nb: 0.702 0.702 0.104
Au: 0.384 0.384 0.384
N: 0.982 0.982 0.982

Output
N(E_F) ... 1.179 states/eV per atom
Raw formation energy ... 1.5 eV per formula unit
SG ... R3m
Theoretical density ... 8.7 g/cm³

***

(19)
# PrTiP2

An optimized crystal structure of PrTiP2 (PBE, the Alexandria database).

a = 3.839 Å, b = 3.839 Å, c = 6.703 Å
α = 73.36°, β = 73.36°, γ = 60.00°
Fractional coordinates of all 4 atoms:
Pr: 0.500 0.500 0.500
P: 0.265 0.265 0.206
P: 0.735 0.735 0.794
Ti: 0.000 0.000 0.000

Output
N(E_F) ... 0.539 states/eV per atom
DFT formation energy ... -1220 meV per atom
SG ... R-3m
Theoretical density ... 5.2 g/cm³

***

(20)
# Pr2GeI2

An optimized crystal structure of Pr2GeI2 (PBE, the Alexandria database).

a = 4.236 Å, b = 7.759 Å, c = 11.339 Å
α = 90.00°, β = 90.00°, γ = 105.84°
Fractional coordinates of all 10 atoms:
Pr: 0.232 0.464 0.139
Pr: 0.037 0.074 0.899
Pr: 0.768 0.536 0.639
Pr: 0.963 0.926 0.399
Ge: 0.651 0.301 0.986
Ge: 0.349 0.699 0.486
I: 0.903 0.806 0.130
I: 0.364 0.729 0.831
I: 0.097 0.194 0.630
I: 0.636 0.271 0.331

Output
N(E_F) ... 0.842 states/eV per atom
Raw formation energy ... -4.6 eV per formula unit
SG ... Cmc2_1
Theoretical density ... 5.6 g/cm³